# 1
SmEr6Tl2: optimized geometry, GGA-PBE.

Structure (extended XYZ):
```
9
Lattice="3.7248 0.0000 0.0000 1.8624 6.3209 0.4803 1.8624 1.7966 11.5218" Properties=species:S:1:pos:R:3 pbc="T T T"
Tl 1.8624 0.8275 2.5009
Tl 5.5872 7.2900 9.5012
Sm 0.0000 0.0000 0.0000
Er 1.8624 3.2178 7.6745
Er 3.7248 4.7231 10.3134
Er 3.7248 3.3944 1.6887
Er 3.7248 6.0847 7.0915
Er 3.7248 2.0328 4.9106
Er 5.5872 4.8997 4.3276
```

Electronic total energy: -4.23 eV/atom
E_form: -141 meV per atom

=====

# 2
SmEr2Tl: optimized geometry, GGA-PBE.

Structure (extended XYZ):
```
4
Lattice="5.4607 0.0000 0.0000 2.7304 4.7291 0.0000 2.7304 1.5764 4.4587" Properties=species:S:1:pos:R:3 pbc="T T T"
Er 2.7304 1.5764 1.1147
Er 8.1911 4.7291 3.3440
Tl 5.4607 3.1528 2.2293
Sm 0.0000 0.0000 0.0000
```

Energy relative to the lowest polymorph listed for this composition: 183.0 meV/atom
Electronic total energy: -4.05 eV/atom
E_form: 7 meV per atom